Entry 1:
Here is an optimized crystal structure of Mg2ZnN2 from Alexandria via LeMat-Bulk. Energies are from PBE.

POSCAR file:
```
Mg2ZnN2
1.0
6.4142 0.0000 0.0000
0.0000 4.2977 0.0000
0.0000 0.0000 9.2198
Mg Zn N
8 4 8
Direct
0.0839 0.2500 0.2296
0.1279 0.2500 0.6073
0.3721 0.7500 0.1073
0.4161 0.7500 0.7296
0.5839 0.2500 0.2704
0.6279 0.2500 0.8927
0.8721 0.7500 0.3927
0.9161 0.7500 0.7704
0.1784 0.2500 0.9337
0.3216 0.7500 0.4337
0.6784 0.2500 0.5663
0.8216 0.7500 0.0663
0.0469 0.7500 0.1922
0.1307 0.7500 0.5899
0.3693 0.2500 0.0899
0.4531 0.2500 0.6922
0.5469 0.7500 0.3078
0.6307 0.7500 0.9101
0.8693 0.2500 0.4101
0.9531 0.2500 0.8078
```

## Properties
Density of states at the Fermi level ... 0.00 states/eV/cell
Spin magnetization ... 0.00 μB per formula unit
Formation energy from raw total energies ... -377 meV/atom

***

Entry 2:
Here is an optimized crystal structure of MgZn3N from Alexandria via LeMat-Bulk. Energies are from PBE.

POSCAR file:
```
MgZn3N
1.0
5.2312 0.0000 0.0000
0.0000 5.2312 0.0000
0.0000 0.0000 5.2312
Mg Zn N
1 3 1
Direct
0.0000 0.0000 0.0000
0.0000 0.0000 0.5000
0.0000 0.5000 0.0000
0.5000 0.0000 0.0000
0.5000 0.5000 0.5000
```

## Properties
Density of states at the Fermi level ... 2.94 states/eV/cell
Spin magnetization ... 2.30 μB per formula unit
Formation energy from raw total energies ... 1501 meV/atom

***

Entry 3:
Here is an optimized crystal structure of Mg2ZnN2 from Alexandria via LeMat-Bulk. Energies are from PBE.

POSCAR file:
```
Mg2ZnN2
1.0
7.4204 0.0000 0.0000
0.0000 7.4204 0.0000
0.0000 0.0000 7.4204
Mg Zn N
4 2 4
Direct
0.1971 0.1971 0.1971
0.1971 0.8029 0.8029
0.8029 0.1971 0.8029
0.8029 0.8029 0.1971
0.0000 0.0000 0.0000
0.5000 0.5000 0.5000
0.3506 0.3506 0.3506
0.3506 0.6494 0.6494
0.6494 0.3506 0.6494
0.6494 0.6494 0.3506
```

## Properties
Density of states at the Fermi level ... 6.23 states/eV/cell
Spin magnetization ... 4.03 μB per formula unit
Formation energy from raw total energies ... 1484 meV/atom

***

Entry 4:
Here is an optimized crystal structure of Mg3ZnN from Alexandria via LeMat-Bulk. Energies are from PBE.

POSCAR file:
```
Mg3ZnN
1.0
4.8488 0.0000 0.0000
0.0000 4.8488 0.0000
0.0000 0.0000 4.8488
Mg Zn N
3 1 1
Direct
0.0000 0.0000 0.5000
0.0000 0.5000 0.0000
0.5000 0.0000 0.0000
0.0000 0.0000 0.0000
0.5000 0.5000 0.5000
```

## Properties
Density of states at the Fermi level ... 4.59 states/eV/cell
Spin magnetization ... 0.00 μB per formula unit
Formation energy from raw total energies ... 1146 meV/atom